RbTa2O5: relaxed, PBE.

Cell and atoms, written as POSCAR:
```
RbTa2O5
1.0
-1.161 5.642 2.343
0.059 -3.361 8.122
8.854 1.577 0.588
O Ta Rb
20 8 4
Direct
0.000 0.369 0.045
0.305 0.000 0.000
0.710 0.417 0.794
0.500 0.822 0.425
0.000 0.869 0.455
0.290 0.083 0.294
0.305 0.500 0.500
0.710 0.583 0.206
0.695 0.500 0.500
0.710 0.083 0.294
0.000 0.631 0.955
0.290 0.417 0.794
0.290 0.583 0.206
0.290 0.917 0.706
0.500 0.178 0.575
0.695 0.000 0.000
0.500 0.678 0.925
0.000 0.131 0.545
0.710 0.917 0.706
0.500 0.322 0.075
0.743 0.500 0.000
0.500 0.614 0.363
0.257 0.000 0.500
0.257 0.500 0.000
0.500 0.386 0.637
0.743 0.000 0.500
0.500 0.114 0.137
0.500 0.886 0.863
0.000 0.850 0.161
0.000 0.650 0.661
0.000 0.150 0.839
0.000 0.350 0.339
```

Properties
The magnetic moment comes out at 0.0 μB per cell. As for the calculated total energy: -8.710 eV/atom. The space-group type is No. 55. For the uncorrected formation energy, the calculation gives -2527 meV per atom.

RbTaO2: relaxed, PBE.

Cell and atoms, written as POSCAR:
```
RbTaO2
1.0
-2.314 4.869 -0.768
-1.147 0.293 5.315
3.239 5.090 3.207
Rb O Ta
2 4 2
Direct
0.500 0.500 0.000
0.250 0.750 0.500
0.840 0.125 0.250
0.910 0.625 0.250
0.875 0.090 0.750
0.375 0.160 0.750
0.000 0.000 0.000
0.750 0.250 0.500
```

Properties
The magnetic moment comes out at 0.9 μB per cell. The energy above the most stable polymorph in this dataset is 0.0 meV/atom. As for the calculated total energy: -7.357 eV/atom. The space-group type is No. 122. For the uncorrected formation energy, the calculation gives -1673 meV per atom.

RbTaO2: relaxed, PBE.

Cell and atoms, written as POSCAR:
```
RbTaO2
1.0
1.809 0.000 7.584
-0.904 1.567 7.584
-0.904 -1.567 7.584
O Rb Ta
2 1 1
Direct
0.886 0.886 0.886
0.114 0.114 0.114
0.000 0.000 0.000
0.500 0.500 0.500
```

Properties
The magnetic moment comes out at 0.0 μB per cell. The energy above the most stable polymorph in this dataset is 192.2 meV/atom. As for the calculated total energy: -7.165 eV/atom. The space-group type is No. 166. For the uncorrected formation energy, the calculation gives -1481 meV per atom.

RbTa2O: relaxed, PBE.

Cell and atoms, written as POSCAR:
```
RbTa2O
1.0
6.575 0.000 0.000
0.000 6.575 0.000
3.288 3.288 4.649
Rb O Ta
2 2 4
Direct
0.750 0.250 0.500
0.000 0.000 0.000
0.500 0.500 0.000
0.250 0.750 0.500
0.375 0.625 0.250
0.375 0.625 0.750
0.875 0.625 0.750
0.375 0.125 0.250
```

Properties
The magnetic moment comes out at 0.0 μB per cell. As for the calculated total energy: -7.163 eV/atom. The space-group type is No. 227. For the uncorrected formation energy, the calculation gives 244 meV per atom.